No. 1
Cr2CuRh | PBE | optimized geometry

Final energy = -30.15 eV per formula unit
Crystal system = monoclinic
Density = 9.05 g cm⁻³

abc: 2.5848 3.8060 5.0429
angles: 90.00 90.23 90.00
Last column: nearest neighbours and their distance in Å.
Space group P2/m (No. 10)
Symmetry-distinct sites (fractional):
Cr  0.0008  0.0000  0.2579 [2 per cell]  4 Cr 2.44-2.60, 4 Cu 2.60-2.61, 4 Rh 2.64
Cu  0.5000  0.5000  0.5000 [1 per cell]  2 Rh 2.52, 2 Cu 2.58, 8 Cr 2.60-2.61
Rh  0.5000  0.5000  0.0000 [1 per cell]  2 Cu 2.52, 2 Rh 2.58, 8 Cr 2.64


No. 2
CrCuRh2 | PBE | optimized geometry

Final energy = -28.30 eV per formula unit
Crystal system = monoclinic
Density = 9.88 g cm⁻³

abc: 8.6302 2.7364 4.6650
angles: 90.00 101.26 90.00
Last column: nearest neighbours and their distance in Å.
Space group C2/m (No. 12)
Symmetry-distinct sites (fractional):
Cr  0.0000  0.0000  0.0000 [2 per cell]  6 Rh 2.60-2.67, 4 Cu 2.70, 2 Cr 2.74
Cu  0.0000  0.5000  0.5000 [2 per cell]  6 Rh 2.62-2.65, 4 Cr 2.70, 2 Cu 2.74
Rh  0.2465  0.5000  0.2491 [4 per cell]  3 Cr 2.60-2.67, 3 Cu 2.62-2.65, 6 Rh 2.70-2.74


No. 3
Cr2CuRh3 | PBE | optimized geometry

Final energy = -45.70 eV per formula unit
Crystal system = tetragonal
Density = 10.05 g cm⁻³

abc: 2.6898 2.6898 10.8761
angles: 90.00 90.00 90.00
Last column: nearest neighbours and their distance in Å.
Space group P4/mmm (No. 123)
Symmetry-distinct sites (fractional):
Cr  0.0000  0.0000  0.1688 [2 per cell]  8 Rh 2.55-2.64, 4 Cr 2.69
Cu  0.0000  0.0000  0.5000 [1 per cell]  4 Cu 2.69, 8 Rh 2.69
Rh  0.5000  0.5000  0.0000 [1 per cell]  8 Cr 2.64, 4 Rh 2.69
Rh  0.5000  0.5000  0.3249 [2 per cell]  4 Cr 2.55, 4 Rh 2.69, 4 Cu 2.69


No. 4
CrCuRh2 | PBE | optimized geometry

Final energy = -28.57 eV per formula unit
Crystal system = orthorhombic
Density = 10.07 g cm⁻³

abc: 2.7630 3.4737 5.5191
angles: 90.00 90.00 90.00
Last column: nearest neighbours and their distance in Å.
Space group Pmmm (No. 47)
Symmetry-distinct sites (fractional):
Cr  0.0000  0.0000  0.0000 [1 per cell]  8 Rh 2.60, 2 Cu 2.76, 2 Cr 2.76
Cu  0.0000  0.0000  0.5000 [1 per cell]  8 Rh 2.62, 2 Cr 2.76, 2 Cu 2.76
Rh  0.5000  0.5000  0.2469 [2 per cell]  4 Cr 2.60, 4 Cu 2.62, 4 Rh 2.73-2.79


No. 5
CrCu2Rh2 | PBE | optimized geometry

Final energy = -30.57 eV per formula unit
Crystal system = tetragonal
Density = 9.56 g cm⁻³
ΔE to the lowest computed polymorph = 89.0 meV per atom

abc: 6.7786 6.7786 2.9104
angles: 90.00 90.00 90.00
Last column: nearest neighbours and their distance in Å.
Space group P4/mbm (No. 127)
Symmetry-distinct sites (fractional):
Cr  0.0000  0.0000  0.0000 [2 per cell]  4 Cu 2.66, 8 Rh 2.91, 2 Cr 2.91
Cu  0.1289  0.3711  0.0000 [4 per cell]  6 Rh 2.41-2.51, 1 Cu 2.47, 2 Cr 2.66
Rh  0.1703  0.6703  0.5000 [4 per cell]  6 Cu 2.41-2.51


No. 6
Cr2CuRh | PBE | optimized geometry

Final energy = -30.05 eV per formula unit
Crystal system = orthorhombic
Density = 8.60 g cm⁻³

abc: 2.8973 4.3015 8.3783
angles: 90.00 90.00 90.00
Last column: nearest neighbours and their distance in Å.
Space group Imm2 (No. 44)
Symmetry-distinct sites (fractional):
Cr  0.0000  0.0000  0.0000 [2 per cell]  2 Cr 2.30
Cr  0.0000  0.5000  0.2864 [2 per cell]  2 Cr 2.30, 2 Rh 2.57
Cu  0.0000  0.5000  0.7609 [2 per cell]  6 Cr 2.60-2.62, 4 Rh 2.70-2.87, 2 Cu 2.90
Rh  0.0000  0.0000  0.5335 [2 per cell]  6 Cr 2.57-2.61, 4 Cu 2.70-2.87


No. 7
Cr2CuRh | PBE | optimized geometry

Final energy = -29.97 eV per formula unit
Crystal system = tetragonal
Density = 8.91 g cm⁻³

abc: 2.5938 2.5938 7.4919
angles: 90.00 90.00 90.00
Last column: nearest neighbours and their distance in Å.
Space group P4mm (No. 99)
Symmetry-distinct sites (fractional):
Cr  0.0000  0.0000  0.0000 [1 per cell]  4 Rh 2.54, 8 Cr 2.59-2.63
Cr  0.5000  0.5000  0.2512 [1 per cell]  8 Cr 2.59-2.63, 4 Cu 2.60
Cu  0.0000  0.0000  0.4981 [1 per cell]  4 Cu 2.59, 4 Cr 2.60, 4 Rh 2.72
Rh  0.5000  0.5000  0.7653 [1 per cell]  4 Cr 2.54, 4 Rh 2.59, 4 Cu 2.72


No. 8
CrCuRh4 | PBE | optimized geometry

Final energy = -43.03 eV per formula unit
Crystal system = tetragonal
Density = 10.79 g cm⁻³
ΔE to the lowest computed polymorph = 0.0 meV per atom

abc: 2.6966 2.6966 11.1523
angles: 90.00 90.00 90.00
Last column: nearest neighbours and their distance in Å.
Space group P4/mmm (No. 123)
Symmetry-distinct sites (fractional):
Cr  0.0000  0.0000  0.0000 [1 per cell]  8 Rh 2.59, 4 Cr 2.70
Cu  0.5000  0.5000  0.5000 [1 per cell]  8 Rh 2.64, 4 Cu 2.70
Rh  0.0000  0.0000  0.3358 [2 per cell]  4 Cu 2.64, 8 Rh 2.70-2.76
Rh  0.5000  0.5000  0.1570 [2 per cell]  4 Cr 2.59, 8 Rh 2.70-2.76


Number 4 is which compound? CrCuRh2